The following is a GGA-PBE calculation of crystalline Co2WBr at its relaxed geometry, from the Alexandria database.

Cell lengths 3.0632, 3.1350, 6.6606 Å; angles 90.00, 90.00, 90.00 degrees
Positions (direct):
Co 0.0000 0.0000 0.1889
Co 0.0000 0.0000 0.8111
W 0.5000 0.5000 0.0000
Br 0.5000 0.0000 0.5000

Values from the calculation:
For the formation energy without anion corrections, the calculation gives 0.439 eV per atom. The calculation puts the density of states at the Fermi level at 3.77 states/eV/cell. The distance to the lowest polymorph of the same formula is 0.0 meV per atom. The calculation puts the spin magnetization at 0.00 μB per cell.